# CsCu2As

Crystalline CsCu2As at its relaxed geometry (PBE, Alexandria via LeMat-Bulk).

Unit cell a=4.3153 b=4.3153 c=19.2738 alpha=90.00 beta=90.00 gamma=120.00
Space group R-3m (No. 166, hexagonal axes)
Symmetry-distinct sites (fractional):
Cs 0.0000 0.0000 0.0000 x3
Cu 0.0000 0.0000 0.1776 x6
As 0.0000 0.0000 0.5000 x3

Energy of formation (meV per atom): -120



# CsCu2As

Crystalline CsCu2As at its relaxed geometry (PBE, Alexandria via LeMat-Bulk).

Unit cell a=5.773 b=5.773 c=14.446 alpha=90.00 beta=90.00 gamma=90.00
Space group I4_1/amd (No. 141, origin choice 2)
Symmetry-distinct sites (fractional):
Cs 0.000 0.250 0.375 x4
Cu 0.000 0.000 0.000 x8
As 0.000 0.250 0.875 x4

Energy of formation (meV per atom): -133



# CsCu12As4

Crystalline CsCu12As4 at its relaxed geometry (PBE, Alexandria via LeMat-Bulk).

Unit cell a=8.590 b=8.590 c=8.590 alpha=90.00 beta=90.00 gamma=90.00
Space group Im-3m (No. 229)
Symmetry-distinct sites (fractional):
Cs 0.000 0.000 0.000 x2
Cu 0.000 0.348 0.348 x24
As 0.250 0.250 0.250 x8

Energy of formation (meV per atom): 135



# CsCuAs3

Crystalline CsCuAs3 at its relaxed geometry (PBE, Alexandria via LeMat-Bulk).

Unit cell a=5.013 b=5.013 c=5.013 alpha=90.00 beta=90.00 gamma=90.00
Space group Pm-3m (No. 221)
Symmetry-distinct sites (fractional):
Cs 0.000 0.000 0.000 x1
Cu 0.500 0.500 0.500 x1
As 0.000 0.500 0.500 x3

Energy of formation (meV per atom): 352



# Cs2CuAs2

Crystalline Cs2CuAs2 at its relaxed geometry (PBE, Alexandria via LeMat-Bulk).

Unit cell a=12.923 b=5.685 c=11.167 alpha=90.00 beta=91.71 gamma=90.00
Space group C2/m (No. 12)
Symmetry-distinct sites (fractional):
Cs 0.141 0.000 0.369 x4
Cs 0.141 0.000 0.869 x4
Cu 0.000 0.500 0.250 x4
As 0.076 0.500 0.067 x4
As 0.076 0.500 0.567 x4

Energy of formation (meV per atom): -282



# Cs2CuAs2

Crystalline Cs2CuAs2 at its relaxed geometry (PBE, Alexandria via LeMat-Bulk).

Unit cell a=6.889 b=6.889 c=6.116 alpha=90.00 beta=90.00 gamma=90.00
Space group P4/mbm (No. 127)
Symmetry-distinct sites (fractional):
Cs 0.176 0.324 0.000 x4
Cu 0.000 0.000 0.500 x2
As 0.133 0.633 0.500 x4

Energy of formation (meV per atom): -32



| no. | total moment (μB per cell) |
| --- | --- |
| 1 | 0.0 |
| 2 | 0.0 |
| 3 | 0.0 |
| 4 | 0.0 |
| 5 | 0.0 |
| 6 | 0.0 |